Entry 1:
Computed, not measured: Tb8NdTm2 after structural relaxation at the GGA-PBE level of DFT.

Values from the calculation:
Polymorph energy (0 for the lowest one) ... 0 meV per atom
E ... -4.50 eV per atom
E_form ... 11.1 kJ per mole of atoms

Geometry as CIF:
```
data_Tb8NdTm2
_chemical_formula_sum 'Tb16 Nd2 Tm4'
_symmetry_space_group_name_H-M 'I m m m'
_symmetry_Int_Tables_number 71
_symmetry_space_group_name_Hall '-I 2 2'
_cell_length_a 5.526
_cell_length_b 8.139
_cell_length_c 15.878
_cell_angle_alpha 90.00
_cell_angle_beta 90.00
_cell_angle_gamma 90.00
loop_
_atom_site_label
_atom_site_type_symbol
_atom_site_fract_x
_atom_site_fract_y
_atom_site_fract_z
_atom_site_occupancy
Tb1 Tb 0.000 0.000 0.165 1
Tb2 Tb 0.000 0.206 0.361 1
Tb3 Tb 0.000 0.296 0.000 1
Nd1 Nd 0.000 0.500 0.500 1
Tm1 Tm 0.000 0.500 0.199 1
```

Entry 2:
Computed, not measured: Tb6NdTm3 after structural relaxation at the GGA-PBE level of DFT.

Values from the calculation:
Polymorph energy (0 for the lowest one) ... 26 meV per atom
E ... -4.44 eV per atom
E_form ... 14.7 kJ per mole of atoms

Geometry as CIF:
```
data_Tb6NdTm3
_chemical_formula_sum 'Tb24 Nd4 Tm12'
_symmetry_space_group_name_H-M 'C m c 21'
_symmetry_Int_Tables_number 36
_symmetry_space_group_name_Hall 'C 2c -2'
_cell_length_a 10.997
_cell_length_b 18.936
_cell_length_c 6.182
_cell_angle_alpha 90.00
_cell_angle_beta 90.00
_cell_angle_gamma 90.00
loop_
_atom_site_label
_atom_site_type_symbol
_atom_site_fract_x
_atom_site_fract_y
_atom_site_fract_z
_atom_site_occupancy
Tb1 Tb 0.000 0.045 0.000 1
Tb2 Tb 0.000 0.282 0.266 1
Tb3 Tb 0.165 0.455 0.376 1
Tb4 Tb 0.247 0.290 0.546 1
Nd1 Nd 0.000 0.205 0.764 1
Tm1 Tm 0.000 0.389 0.836 1
Tm2 Tm 0.173 0.110 0.453 1
```

Entry 3:
Computed, not measured: Tb7NdTm3 after structural relaxation at the GGA-PBE level of DFT.

Values from the calculation:
Polymorph energy (0 for the lowest one) ... 0 meV per atom
E ... -4.46 eV per atom
E_form ... 13.3 kJ per mole of atoms

Geometry as CIF:
```
data_Tb7NdTm3
_chemical_formula_sum 'Tb7 Nd1 Tm3'
_symmetry_space_group_name_H-M 'P 1 2/m 1'
_symmetry_Int_Tables_number 10
_symmetry_space_group_name_Hall '-P 2y'
_cell_length_a 6.950
_cell_length_b 5.544
_cell_length_c 9.852
_cell_angle_alpha 90.00
_cell_angle_beta 109.67
_cell_angle_gamma 90.00
loop_
_atom_site_label
_atom_site_type_symbol
_atom_site_fract_x
_atom_site_fract_y
_atom_site_fract_z
_atom_site_occupancy
Tb1 Tb 0.000 0.000 0.000 1
Tb2 Tb 0.146 0.500 0.290 1
Tb3 Tb 0.327 0.500 0.643 1
Tb4 Tb 0.424 0.000 0.832 1
Nd1 Nd 0.000 0.000 0.500 1
Tm1 Tm 0.277 0.500 0.997 1
Tm2 Tm 0.500 0.000 0.500 1
```

Entry 4:
Computed, not measured: TbNd5Tm12 after structural relaxation at the GGA-PBE level of DFT.

Values from the calculation:
E ... -4.54 eV per atom
E_form ... 2.2 kJ per mole of atoms

Geometry as CIF:
```
data_TbNd5Tm12
_chemical_formula_sum 'Tb2 Nd10 Tm24'
_symmetry_space_group_name_H-M 'C 1 2/m 1'
_symmetry_Int_Tables_number 12
_symmetry_space_group_name_Hall '-C 2y'
_cell_length_a 18.403
_cell_length_b 10.611
_cell_length_c 6.137
_cell_angle_alpha 90.00
_cell_angle_beta 109.21
_cell_angle_gamma 90.00
loop_
_atom_site_label
_atom_site_type_symbol
_atom_site_fract_x
_atom_site_fract_y
_atom_site_fract_z
_atom_site_occupancy
Tb1 Tb 0.000 0.000 0.000 1
Nd1 Nd 0.000 0.500 0.500 1
Nd2 Nd 0.166 0.000 0.499 1
Nd3 Nd 0.167 0.500 0.001 1
Tm1 Tm 0.000 0.167 0.500 1
Tm2 Tm 0.000 0.331 0.000 1
Tm3 Tm 0.166 0.168 0.999 1
Tm4 Tm 0.167 0.331 0.501 1
```

Entry 5:
Computed, not measured: Tb4Nd2Tm5 after structural relaxation at the GGA-PBE level of DFT.

Values from the calculation:
Polymorph energy (0 for the lowest one) ... 0 meV per atom
E ... -4.56 eV per atom
E_form ... 2.1 kJ per mole of atoms

Geometry as CIF:
```
data_Tb4Nd2Tm5
_chemical_formula_sum 'Tb8 Nd4 Tm10'
_symmetry_space_group_name_H-M 'C 1 2/m 1'
_symmetry_Int_Tables_number 12
_symmetry_space_group_name_Hall '-C 2y'
_cell_length_a 23.273
_cell_length_b 3.547
_cell_length_c 8.690
_cell_angle_alpha 90.00
_cell_angle_beta 104.23
_cell_angle_gamma 90.00
loop_
_atom_site_label
_atom_site_type_symbol
_atom_site_fract_x
_atom_site_fract_y
_atom_site_fract_z
_atom_site_occupancy
Tb1 Tb 0.046 0.000 0.360 1
Tb2 Tb 0.182 0.500 0.454 1
Nd1 Nd 0.092 0.500 0.731 1
Tm1 Tm 0.000 0.500 0.000 1
Tm2 Tm 0.137 0.000 0.092 1
Tm3 Tm 0.228 0.000 0.820 1
```

Entry 6:
Computed, not measured: Tb2Nd2Tm after structural relaxation at the GGA-PBE level of DFT.

Values from the calculation:
Polymorph energy (0 for the lowest one) ... 289 meV per atom
E ... -4.34 eV per atom
E_form ... 29.9 kJ per mole of atoms

Geometry as CIF:
```
data_Tb2Nd2Tm
_chemical_formula_sum 'Tb8 Nd8 Tm4'
_symmetry_space_group_name_H-M 'C m c m'
_symmetry_Int_Tables_number 63
_symmetry_space_group_name_Hall '-C 2c 2'
_cell_length_a 6.801
_cell_length_b 16.320
_cell_length_c 6.281
_cell_angle_alpha 90.00
_cell_angle_beta 90.00
_cell_angle_gamma 90.00
loop_
_atom_site_label
_atom_site_type_symbol
_atom_site_fract_x
_atom_site_fract_y
_atom_site_fract_z
_atom_site_occupancy
Tb1 Tb 0.000 0.090 0.250 1
Tb2 Tb 0.000 0.332 0.750 1
Nd1 Nd 0.242 0.331 0.250 1
Tm1 Tm 0.000 0.500 0.000 1
```

Entry 7:
Computed, not measured: Tb7NdTm2 after structural relaxation at the GGA-PBE level of DFT.

Values from the calculation:
Polymorph energy (0 for the lowest one) ... 644 meV per atom
E ... -3.92 eV per atom
E_form ... 66.4 kJ per mole of atoms

Geometry as CIF:
```
data_Tb7NdTm2
_chemical_formula_sum 'Tb14 Nd2 Tm4'
_symmetry_space_group_name_H-M 'C m m m'
_symmetry_Int_Tables_number 65
_symmetry_space_group_name_Hall '-C 2 2'
_cell_length_a 8.780
_cell_length_b 15.923
_cell_length_c 5.659
_cell_angle_alpha 90.00
_cell_angle_beta 90.00
_cell_angle_gamma 90.00
loop_
_atom_site_label
_atom_site_type_symbol
_atom_site_fract_x
_atom_site_fract_y
_atom_site_fract_z
_atom_site_occupancy
Tb1 Tb 0.000 0.000 0.000 1
Tb2 Tb 0.000 0.278 0.500 1
Tb3 Tb 0.178 0.384 0.000 1
Nd1 Nd 0.000 0.500 0.500 1
Tm1 Tm 0.000 0.204 0.000 1
```

Entry 8:
Computed, not measured: Tb2Nd5Tm after structural relaxation at the GGA-PBE level of DFT.

Values from the calculation:
Polymorph energy (0 for the lowest one) ... 10 meV per atom
E ... -4.67 eV per atom
E_form ... 2.6 kJ per mole of atoms

Geometry as CIF:
```
data_Tb2Nd5Tm
_chemical_formula_sum 'Tb4 Nd10 Tm2'
_symmetry_space_group_name_H-M 'P 1'
_symmetry_Int_Tables_number 1
_symmetry_space_group_name_Hall 'P 1'
_cell_length_a 5.822
_cell_length_b 7.358
_cell_length_c 12.754
_cell_angle_alpha 89.85
_cell_angle_beta 89.91
_cell_angle_gamma 89.94
loop_
_atom_site_label
_atom_site_type_symbol
_atom_site_fract_x
_atom_site_fract_y
_atom_site_fract_z
_atom_site_occupancy
Tb1 Tb 0.000 0.000 0.000 1
Tb2 Tb 0.000 0.499 0.498 1
Tb3 Tb 0.498 0.499 0.335 1
Tb4 Tb 0.499 0.498 0.833 1
Nd1 Nd 0.000 0.500 0.000 1
Nd2 Nd 0.499 0.998 0.833 1
Nd3 Nd 0.500 0.247 0.085 1
Nd4 Nd 0.500 0.749 0.580 1
Nd5 Nd 0.500 0.751 0.085 1
Nd6 Nd 0.501 0.248 0.581 1
Nd7 Nd 0.998 0.249 0.252 1
Nd8 Nd 0.998 0.249 0.748 1
Nd9 Nd 0.999 0.749 0.748 1
Nd10 Nd 0.999 0.750 0.252 1
Tm1 Tm 0.001 0.999 0.498 1
Tm2 Tm 0.499 0.999 0.335 1
```